# 1
Al2PBr after structural relaxation, computed with GGA-PBE.

* total energy: -3.6530 eV per atom
* volume: 81.5 Å³/f.u.
* Fermi-level density of states: 1.17 states/eV/cell
* symmetry: P2/m

a = 3.8488 Å, b = 6.7306 Å, c = 5.4893 Å
α = 34.99°, β = 90.00°, γ = 90.00°
Fractional positions:
Al  0.0000  0.0000  0.0000
Al  0.5000  0.5000  0.0000
P  0.0000  0.0000  0.5000
Br  0.5000  0.5000  0.5000

=====

# 2
LiPm2Pd3 after structural relaxation, computed with GGA-PBE.

* volume: 129.6 Å³/f.u.
* Fermi-level density of states: 6.23 states/eV/cell
* formation energy: -599 meV per atom
* symmetry: P6_3/mmc

a = 4.4686 Å, b = 4.4686 Å, c = 14.9878 Å
α = 90.00°, β = 90.00°, γ = 120.00°
Fractional positions:
Pd  0.6667  0.3333  0.9800
Pd  0.6667  0.3333  0.5200
Pd  0.3333  0.6667  0.0200
Pd  0.3333  0.6667  0.7500
Pd  0.3333  0.6667  0.4800
Pd  0.6667  0.3333  0.2500
Pm  0.0000  0.0000  0.1211
Pm  0.0000  0.0000  0.8789
Pm  0.0000  0.0000  0.3789
Pm  0.0000  0.0000  0.6211
Li  0.3333  0.6667  0.2500
Li  0.6667  0.3333  0.7500

=====

# 3
RuClF8 after structural relaxation, computed with GGA-PBE.

* total energy: -3.8905 eV per atom
* volume: 161.0 Å³/f.u.
* symmetry: Pcca

a = 5.8545 Å, b = 10.9660 Å, c = 20.0577 Å
α = 90.00°, β = 90.00°, γ = 90.00°
Each line ends with the local moment (μB).
Fractional positions:
F  0.8981  0.5053  0.9298  0.16
F  0.3840  0.7069  0.0544  0.01
F  0.3840  0.7931  0.9456  0.01
F  0.8981  0.4947  0.4298  0.16
F  0.5975  0.1612  0.6975  0.00
F  0.3973  0.4017  0.8199  0.06
F  0.0649  0.6316  0.1802  0.17
F  0.8878  0.5937  0.6773  0.16
F  0.1019  0.4947  0.0702  0.16
F  0.9351  0.1316  0.1802  0.17
F  0.4025  0.8388  0.3025  0.00
F  0.0649  0.3684  0.6802  0.17
F  0.0649  0.1316  0.3198  0.17
F  0.3840  0.2069  0.4456  0.01
F  0.3973  0.5983  0.3199  0.06
F  0.8981  0.0053  0.5702  0.16
F  0.1122  0.4063  0.3227  0.16
F  0.8322  0.6971  0.0721  0.06
F  0.5975  0.3388  0.3025  0.00
F  0.3525  0.9711  0.0683  0.16
F  0.1122  0.0937  0.6773  0.16
F  0.8322  0.1971  0.4279  0.06
F  0.6160  0.7069  0.4456  0.01
F  0.3973  0.9017  0.6801  0.06
F  0.1019  0.5053  0.5702  0.16
F  0.6027  0.5983  0.1801  0.06
F  0.3525  0.0289  0.5683  0.16
F  0.1678  0.8029  0.5721  0.06
F  0.6160  0.7931  0.5544  0.01
F  0.1678  0.3029  0.9279  0.06
F  0.1019  0.9947  0.4298  0.16
F  0.6027  0.4017  0.6801  0.06
F  0.4025  0.1612  0.8025  0.00
F  0.9351  0.8684  0.6802  0.17
F  0.6475  0.5289  0.5683  0.16
F  0.5975  0.6612  0.8025  0.00
F  0.3525  0.5289  0.9317  0.16
F  0.6027  0.0983  0.3199  0.06
F  0.3840  0.2931  0.5544  0.01
F  0.8878  0.9063  0.3227  0.16
F  0.6475  0.4711  0.0683  0.16
F  0.9351  0.3684  0.8198  0.17
F  0.6475  0.9711  0.4317  0.16
F  0.6027  0.9017  0.8199  0.06
F  0.0649  0.8684  0.8198  0.17
F  0.6160  0.2069  0.0544  0.01
F  0.1019  0.0053  0.9298  0.16
F  0.1678  0.6971  0.4279  0.06
F  0.9351  0.6316  0.3198  0.17
F  0.5975  0.8388  0.1975  0.00
F  0.6475  0.0289  0.9317  0.16
F  0.8878  0.4063  0.1773  0.16
F  0.1122  0.5937  0.8227  0.16
F  0.3973  0.0983  0.1801  0.06
F  0.6160  0.2931  0.9456  0.01
F  0.3525  0.4711  0.4317  0.16
F  0.4025  0.3388  0.1975  0.00
F  0.8878  0.0937  0.8227  0.16
F  0.8322  0.3029  0.5721  0.06
F  0.8322  0.8029  0.9279  0.06
F  0.1678  0.1971  0.0721  0.06
F  0.1122  0.9063  0.1773  0.16
F  0.4025  0.6612  0.6975  0.00
F  0.8981  0.9947  0.0702  0.16
Cl  0.5000  0.2620  0.7500  0.01
Cl  0.5744  0.7500  0.0000  0.01
Cl  0.5744  0.2500  0.5000  0.01
Cl  0.4256  0.2500  0.0000  0.01
Cl  0.5000  0.7380  0.2500  0.01
Cl  0.4256  0.7500  0.5000  0.01
Cl  0.5000  0.2380  0.2500  0.01
Cl  0.5000  0.7620  0.7500  0.01
Ru  0.1369  0.4542  0.8753  2.04
Ru  0.1369  0.9542  0.6247  2.04
Ru  0.1369  0.0458  0.1247  2.04
Ru  0.8631  0.0458  0.3753  2.04
Ru  0.8631  0.5458  0.1247  2.04
Ru  0.8631  0.4542  0.6247  2.04
Ru  0.1369  0.5458  0.3753  2.04
Ru  0.8631  0.9542  0.8753  2.04

=====

# 4
BiPPbO2 after structural relaxation, computed with GGA-PBE.

* total energy: -4.8197 eV per atom
* volume: 99.6 Å³/f.u.
* Fermi-level density of states: 1.99 states/eV/cell
* symmetry: P4/mmm

a = 4.3052 Å, b = 4.3052 Å, c = 5.3755 Å
α = 90.00°, β = 90.00°, γ = 90.00°
Fractional positions:
P  0.0000  0.0000  0.5000
O  0.5000  0.0000  0.0000
O  0.0000  0.5000  0.0000
Bi  0.0000  0.0000  0.0000
Pb  0.5000  0.5000  0.5000

=====

# 5
LiYZnCd after structural relaxation, computed with GGA-PBE.

* volume: 78.5 Å³/f.u.
* Fermi-level density of states: 0.53 states/eV/cell
* formation energy: -298 meV per atom
* symmetry: F-43m

a = 4.8062 Å, b = 4.8062 Å, c = 4.8062 Å
α = 60.00°, β = 60.00°, γ = 60.00°
Fractional positions:
Zn  0.5000  0.5000  0.5000
Li  0.0000  0.0000  0.0000
Y  0.7500  0.7500  0.7500
Cd  0.2500  0.2500  0.2500

=====

# 6
Tb2CdRh after structural relaxation, computed with GGA-PBE.

* volume: 94.1 Å³/f.u.
* Fermi-level density of states: 1.83 states/eV/cell
* formation energy: -602 meV per atom
* symmetry: P4/mmm

a = 3.5220 Å, b = 3.5220 Å, c = 7.5884 Å
α = 90.00°, β = 90.00°, γ = 90.00°
Fractional positions:
Rh  0.5000  0.5000  0.0000
Tb  0.0000  0.0000  0.2171
Tb  0.0000  0.0000  0.7829
Cd  0.5000  0.5000  0.5000

=====

# 7
K2NaRuW after structural relaxation, computed with GGA-PBE.

* volume: 248.9 Å³/f.u.
* Fermi-level density of states: 10.72 states/eV/cell
* formation energy: 2364 meV per atom
* symmetry: P4/mmm

a = 6.4973 Å, b = 6.4973 Å, c = 5.8967 Å
α = 90.00°, β = 90.00°, γ = 90.00°
Each line ends with the local moment (μB).
Fractional positions:
K  0.0000  0.5000  0.0000  0.03
K  0.5000  0.0000  0.0000  0.03
Na  0.0000  0.0000  0.5000  0.03
Ru  0.5000  0.5000  0.5000  2.40
W  0.0000  0.0000  0.0000  3.41

=====

# 8
DyTi2Al5 after structural relaxation, computed with GGA-PBE.

* volume: 152.8 Å³/f.u.
* Fermi-level density of states: 6.06 states/eV/cell
* formation energy: -230 meV per atom
* symmetry: Immm

a = 3.9121 Å, b = 7.2333 Å, c = 7.2333 Å
α = 51.49°, β = 74.31°, γ = 74.31°
Fractional positions:
Ti  0.2242  0.2758  0.2758
Ti  0.7758  0.7242  0.7242
Al  0.6148  0.6006  0.1699
Al  0.3852  0.8301  0.3994
Al  0.3852  0.3994  0.8301
Al  0.6148  0.1699  0.6006
Al  0.0000  0.5000  0.5000
Dy  0.0000  0.0000  0.0000

=====

# 9
Li2In2I7 after structural relaxation, computed with GGA-PBE.

* total energy: -2.5201 eV per atom
* volume: 490.4 Å³/f.u.
* Fermi-level density of states: 6.90 states/eV/cell
* symmetry: C2/c

a = 8.4012 Å, b = 8.4012 Å, c = 15.4825 Å
α = 108.04°, β = 108.04°, γ = 90.75°
Fractional positions:
I  0.4999  0.3866  0.3653
I  0.5001  0.6134  0.6347
I  0.9707  0.0293  0.2500
I  0.9448  0.4011  0.6015
I  0.0552  0.5989  0.3985
I  0.6134  0.5001  0.1347
I  0.9173  0.6149  0.9174
I  0.0827  0.3851  0.0826
I  0.3851  0.0827  0.5826
I  0.3866  0.4999  0.8653
I  0.6149  0.9173  0.4174
I  0.4011  0.9448  0.1015
I  0.5989  0.0552  0.8985
I  0.0293  0.9707  0.7500
Li  0.2893  0.5973  0.0358
Li  0.5973  0.2893  0.5358
Li  0.7107  0.4027  0.9642
Li  0.4027  0.7107  0.4642
In  0.2287  0.1806  0.1999
In  0.1806  0.2287  0.6999
In  0.7713  0.8194  0.8001
In  0.8194  0.7713  0.3001

=====

# 10
TmSi2Se6 after structural relaxation, computed with GGA-PBE.

* total energy: -4.6792 eV per atom
* volume: 242.2 Å³/f.u.
* Fermi-level density of states: 11.52 states/eV/cell
* symmetry: C2/c

a = 6.5363 Å, b = 8.6731 Å, c = 8.6731 Å
α = 86.52°, β = 83.25°, γ = 83.25°
Fractional positions:
Se  0.8806  0.8624  0.4113
Se  0.1194  0.1376  0.5887
Se  0.8432  0.2001  0.0268
Se  0.3724  0.7206  0.5528
Se  0.8724  0.5528  0.7206
Se  0.3432  0.0268  0.2001
Se  0.6276  0.2794  0.4472
Se  0.6568  0.9732  0.7999
Se  0.6194  0.5887  0.1376
Se  0.1568  0.7999  0.9732
Se  0.3806  0.4113  0.8624
Se  0.1276  0.4472  0.2794
Si  0.1851  0.6276  0.7784
Si  0.6851  0.7784  0.6276
Si  0.3149  0.2216  0.3724
Si  0.8149  0.3724  0.2216
Tm  0.2500  0.1141  0.8859
Tm  0.7500  0.8859  0.1141